LiMg2Te | PBE | relaxed

a b c (Å): 6.6513 6.6513 3.1832
angles (deg): 102.98 102.98 126.92
Last column: nearest neighbours and their distance in Å.
Fractional coordinates of all 4 atoms:
Li (0.0000, 0.0000, 0.0000)  4 Te 2.97-3.08, 2 Li 3.18, 4 Mg 3.33
Mg (0.0000, 0.5000, 0.0000)  6 Mg 2.97-3.18, 2 Li 3.33, 2 Te 3.33
Mg (0.5000, 0.0000, 0.0000)  6 Mg 2.97-3.18, 2 Li 3.33, 2 Te 3.33
Te (0.5000, 0.5000, 0.0000)  4 Li 2.97-3.08, 2 Te 3.18, 4 Mg 3.33

formation energy without anion corrections	-0.97	eV/f.u.
ρ	3.124	g cm⁻³



AlVW3 | PBE | relaxed

a b c (Å): 4.5166 4.5166 4.5166
angles (deg): 90.00 90.00 90.00
Last column: nearest neighbours and their distance in Å.
Fractional coordinates of all 5 atoms:
Al (0.0000, 0.0000, 0.0000)  6 W 2.26
V (0.5000, 0.5000, 0.5000)  12 W 3.19
W (0.0000, 0.0000, 0.5000)  2 Al 2.26
W (0.0000, 0.5000, 0.0000)  2 Al 2.26
W (0.5000, 0.0000, 0.0000)  2 Al 2.26

offset from the most stable computed form	914	kJ/mol of formula units
energy of formation from the pure elements	1861.2	meV per atom
ρ	11.344	g cm⁻³



Number 1: raw total energy -2.304 eV/atom, DOS(E_F) 0.267 states/eV per atom. Number 2: raw total energy -8.483 eV/atom, DOS(E_F) 1.167 states/eV per atom.